# 1
This record from Alexandria describes ZrMn2Fe2 after structural relaxation. The functional is PBE.

The structure in POSCAR format:
```
ZrMn2Fe2
1.0
7.021 0.000 0.000
0.000 7.021 0.000
0.000 0.000 2.565
Zr Mn Fe
2 4 4
Direct
0.000 0.000 0.000
0.500 0.500 0.000
0.167 0.333 0.500
0.333 0.833 0.500
0.667 0.167 0.500
0.833 0.667 0.500
0.122 0.622 0.000
0.378 0.122 0.000
0.622 0.878 0.000
0.878 0.378 0.000
```

Properties
Its space group is P4/mbm. The final energy comes out at -8.617 eV/atom. As for the energy above the lowest structure with this stoichiometry: 0.1204 eV per atom. The volume comes out at 12.64 Å³/atom.

# 2
This record from Alexandria describes La5Pm2NdDy after structural relaxation. The functional is PBE.

The structure in POSCAR format:
```
La5Pm2NdDy
1.0
-4.567 4.567 7.751
4.567 -4.567 7.751
4.567 4.567 -7.751
La Pm Nd Dy
10 4 2 2
Direct
0.000 0.000 0.000
0.068 0.568 0.914
0.154 0.068 0.500
0.346 0.846 0.914
0.432 0.346 0.500
0.500 0.500 0.000
0.568 0.654 0.500
0.654 0.154 0.086
0.846 0.932 0.500
0.932 0.432 0.086
0.115 0.385 0.500
0.385 0.885 0.271
0.615 0.115 0.729
0.885 0.615 0.500
0.250 0.250 0.000
0.750 0.750 0.000
0.250 0.750 0.500
0.750 0.250 0.500
```

Properties
Its space group is I4/mcm. The final energy comes out at -4.570 eV/atom. The volume comes out at 35.92 Å³/atom.

# 3
This record from Alexandria describes CaMgCo2 after structural relaxation. The functional is PBE.

The structure in POSCAR format:
```
CaMgCo2
1.0
4.364 0.000 0.000
0.000 4.364 0.000
0.000 0.000 17.881
Ca Mg Co
4 4 8
Direct
0.000 0.000 0.000
0.000 0.500 0.250
0.500 0.000 0.750
0.500 0.500 0.500
0.000 0.000 0.500
0.000 0.500 0.750
0.500 0.000 0.250
0.500 0.500 0.000
0.081 0.250 0.625
0.250 0.581 0.875
0.250 0.919 0.375
0.419 0.250 0.125
0.581 0.750 0.125
0.750 0.081 0.375
0.750 0.419 0.875
0.919 0.750 0.625
```

Properties
Its space group is I-42d. The final energy comes out at -3.903 eV/atom. The volume comes out at 21.29 Å³/atom.

# 4
This record from Alexandria describes Cu2Au3 after structural relaxation. The functional is PBE.

The structure in POSCAR format:
```
Cu2Au3
1.0
3.055 0.000 0.000
0.000 3.055 0.000
0.000 0.000 16.834
Cu Au
4 6
Direct
0.000 0.000 0.212
0.000 0.000 0.788
0.500 0.500 0.288
0.500 0.500 0.712
0.000 0.000 0.000
0.000 0.000 0.383
0.000 0.000 0.617
0.500 0.500 0.117
0.500 0.500 0.500
0.500 0.500 0.883
```

Properties
Its space group is I4/mmm. The final energy comes out at -3.612 eV/atom. As for the energy above the lowest structure with this stoichiometry: 0.0374 eV per atom. The volume comes out at 15.71 Å³/atom.

# 5
This record from Alexandria describes CeGa4Ni6 after structural relaxation. The functional is PBE.

The structure in POSCAR format:
```
CeGa4Ni6
1.0
6.861 0.000 0.000
-3.430 5.942 0.000
0.000 0.000 3.821
Ce Ga Ni
1 4 6
Direct
0.000 0.000 0.000
0.333 0.667 0.000
0.399 0.199 0.500
0.801 0.199 0.500
0.801 0.601 0.500
0.206 0.411 0.500
0.206 0.794 0.500
0.535 0.070 0.000
0.535 0.465 0.000
0.589 0.794 0.500
0.930 0.465 0.000
```

Properties
Its space group is P-6m2. The final energy comes out at -5.208 eV/atom. The volume comes out at 14.16 Å³/atom.

# 6
This record from Alexandria describes SrLi2Tl2 after structural relaxation. The functional is PBE.

The structure in POSCAR format:
```
SrLi2Tl2
1.0
8.529 0.000 0.000
0.000 8.529 0.000
0.000 0.000 3.487
Sr Li Tl
2 4 4
Direct
0.000 0.000 0.000
0.500 0.500 0.000
0.120 0.380 0.000
0.380 0.880 0.000
0.620 0.120 0.000
0.880 0.620 0.000
0.173 0.673 0.500
0.327 0.173 0.500
0.673 0.827 0.500
0.827 0.327 0.500
```

Properties
Its space group is P4/mbm. The final energy comes out at -2.282 eV/atom. As for the energy above the lowest structure with this stoichiometry: 0.0151 eV per atom. The volume comes out at 25.36 Å³/atom.

# 7
This record from Alexandria describes Sm10HoSc4 after structural relaxation. The functional is PBE.

The structure in POSCAR format:
```
Sm10HoSc4
1.0
-5.534 5.534 4.165
5.534 -5.534 4.165
5.534 5.534 -4.165
Sm Ho Sc
10 1 4
Direct
0.034 0.923 0.341
0.077 0.418 0.111
0.250 0.750 0.500
0.307 0.966 0.889
0.418 0.307 0.341
0.582 0.693 0.659
0.693 0.034 0.111
0.750 0.250 0.500
0.923 0.582 0.889
0.966 0.077 0.659
0.000 0.000 0.000
0.285 0.564 0.849
0.436 0.285 0.721
0.564 0.715 0.279
0.715 0.436 0.151
```

Properties
Its space group is I4/m. The final energy comes out at -4.595 eV/atom. The volume comes out at 34.02 Å³/atom.

# 8
This record from Alexandria describes NiPRh2S after structural relaxation. The functional is PBE.

The structure in POSCAR format:
```
NiPRh2S
1.0
4.348 0.000 0.000
0.000 4.348 0.000
0.000 0.000 4.578
Ni P Rh S
1 1 2 1
Direct
0.000 0.000 0.000
0.500 0.500 0.500
0.000 0.500 0.500
0.500 0.000 0.500
0.500 0.500 0.000
```

Properties
Its space group is P4/mmm. The final energy comes out at -5.318 eV/atom. The volume comes out at 17.31 Å³/atom.

# 9
This record from Alexandria describes Tb3RhPb after structural relaxation. The functional is PBE.

The structure in POSCAR format:
```
Tb3RhPb
1.0
5.748 0.000 0.000
0.000 6.772 0.000
-1.691 0.000 7.047
Tb Rh Pb
6 2 2
Direct
0.135 0.250 0.115
0.327 0.011 0.702
0.327 0.489 0.702
0.673 0.511 0.298
0.673 0.989 0.298
0.865 0.750 0.885
0.390 0.750 0.991
0.610 0.250 0.009
0.176 0.750 0.320
0.824 0.250 0.680
```

Properties
Its space group is P2_1/m. The final energy comes out at -5.535 eV/atom. The volume comes out at 27.43 Å³/atom.

# 10
This record from Alexandria describes Nd3Sm6Dy2 after structural relaxation. The functional is PBE.

The structure in POSCAR format:
```
Nd3Sm6Dy2
1.0
1.813 1.046 32.561
-1.813 1.046 32.561
0.000 -2.093 32.561
Nd Sm Dy
3 6 2
Direct
0.000 0.000 0.000
0.272 0.272 0.272
0.728 0.728 0.728
0.092 0.092 0.092
0.182 0.182 0.182
0.364 0.364 0.364
0.636 0.636 0.636
0.818 0.818 0.818
0.908 0.908 0.908
0.455 0.455 0.455
0.545 0.545 0.545
```

Properties
Its space group is R-3m. The final energy comes out at -4.697 eV/atom. As for the energy above the lowest structure with this stoichiometry: 0.0000 eV per atom. The volume comes out at 33.69 Å³/atom.

# 11
This record from Alexandria describes NaCe2Tl2 after structural relaxation. The functional is PBE.

The structure in POSCAR format:
```
NaCe2Tl2
1.0
5.165 0.000 0.000
0.000 7.226 0.000
0.000 0.000 7.902
Na Ce Tl
2 4 4
Direct
0.000 0.000 0.000
0.500 0.500 0.500
0.000 0.500 0.173
0.000 0.500 0.827
0.500 0.000 0.327
0.500 0.000 0.673
0.000 0.220 0.500
0.000 0.780 0.500
0.500 0.280 0.000
0.500 0.720 0.000
```

Properties
Its space group is Immm. The final energy comes out at -3.684 eV/atom. The volume comes out at 29.49 Å³/atom.

# 12
This record from Alexandria describes Ac2CuNi3Pt12 after structural relaxation. The functional is PBE.

The structure in POSCAR format:
```
Ac2CuNi3Pt12
1.0
4.073 2.351 6.410
-4.073 2.351 6.410
0.000 -4.703 6.410
Ac Cu Ni Pt
2 1 3 12
Direct
0.120 0.120 0.120
0.880 0.880 0.880
0.500 0.500 0.500
0.000 0.500 0.500
0.500 0.000 0.500
0.500 0.500 0.000
0.129 0.624 0.624
0.135 0.135 0.609
0.135 0.609 0.135
0.376 0.376 0.871
0.376 0.871 0.376
0.391 0.865 0.865
0.609 0.135 0.135
0.624 0.129 0.624
0.624 0.624 0.129
0.865 0.391 0.865
0.865 0.865 0.391
0.871 0.376 0.376
```

Properties
Its space group is R-3m. The final energy comes out at -5.661 eV/atom. The volume comes out at 20.46 Å³/atom.

# 13
This record from Alexandria describes EuTlPd after structural relaxation. The functional is PBE.

The structure in POSCAR format:
```
EuTlPd
1.0
4.818 0.000 0.000
-2.409 4.172 0.000
0.000 0.000 3.835
Eu Tl Pd
1 1 1
Direct
0.000 0.000 0.000
0.333 0.667 0.500
0.667 0.333 0.500
```

Properties
Its space group is P-6m2. The final energy comes out at -6.428 eV/atom. The volume comes out at 25.69 Å³/atom.

# 14
This record from Alexandria describes HoZrPt after structural relaxation. The functional is PBE.

The structure in POSCAR format:
```
HoZrPt
1.0
4.695 0.000 0.000
0.000 6.152 3.558
0.000 -6.152 3.558
Ho Zr Pt
3 3 3
Direct
0.000 0.000 0.000
0.000 0.174 0.587
0.000 0.587 0.174
0.500 0.332 0.332
0.500 0.587 0.842
0.500 0.842 0.587
0.000 0.587 0.587
0.500 0.253 0.920
0.500 0.920 0.253
```

Properties
Its space group is Amm2. The final energy comes out at -7.236 eV/atom. As for the energy above the lowest structure with this stoichiometry: 0.0000 eV per atom. The volume comes out at 22.84 Å³/atom.

# 15
This record from Alexandria describes AsRu3W after structural relaxation. The functional is PBE.

The structure in POSCAR format:
```
AsRu3W
1.0
4.441 0.000 0.000
0.000 4.441 0.000
0.000 0.000 4.441
As Ru W
1 3 1
Direct
0.000 0.000 0.000
0.000 0.000 0.500
0.000 0.500 0.000
0.500 0.000 0.000
0.500 0.500 0.500
```

Properties
Its space group is Pm-3m. The final energy comes out at -7.812 eV/atom. As for the energy above the lowest structure with this stoichiometry: 0.0000 eV per atom. The volume comes out at 17.52 Å³/atom.

# 16
This record from Alexandria describes Rb3Pr3IrO8 after structural relaxation. The functional is PBE.

The structure in POSCAR format:
```
Rb3Pr3IrO8
1.0
3.562 2.057 6.606
-3.562 2.057 6.606
0.000 -4.113 6.606
Rb Pr Ir O
3 3 1 8
Direct
0.000 0.500 0.500
0.500 0.000 0.500
0.500 0.500 0.000
0.000 0.000 0.500
0.000 0.500 0.000
0.500 0.000 0.000
0.500 0.500 0.500
0.227 0.227 0.227
0.260 0.703 0.703
0.297 0.297 0.740
0.297 0.740 0.297
0.703 0.260 0.703
0.703 0.703 0.260
0.740 0.297 0.297
0.773 0.773 0.773
```

Properties
Its space group is R-3m. The final energy comes out at -6.495 eV/atom. The volume comes out at 19.36 Å³/atom.

# 17
This record from Alexandria describes Ba7Li3Ru4O20 after structural relaxation. The functional is PBE.

The structure in POSCAR format:
```
Ba7Li3Ru4O20
1.0
5.083 -2.915 0.000
5.083 2.915 0.000
-3.286 0.000 16.884
Ba Li Ru O
7 3 4 20
Direct
0.000 0.000 0.000
0.189 0.194 0.578
0.264 0.266 0.863
0.438 0.443 0.284
0.557 0.562 0.716
0.734 0.736 0.137
0.806 0.811 0.422
0.334 0.333 0.071
0.497 0.503 0.500
0.667 0.666 0.929
0.082 0.086 0.204
0.121 0.127 0.370
0.873 0.879 0.630
0.914 0.918 0.796
0.001 0.501 0.000
0.043 0.600 0.709
0.045 0.050 0.719
0.182 0.708 0.576
0.233 0.236 0.155
0.235 0.754 0.142
0.246 0.765 0.858
0.292 0.818 0.424
0.293 0.300 0.433
0.400 0.957 0.291
0.499 0.999 0.000
0.595 0.048 0.709
0.700 0.707 0.567
0.702 0.188 0.576
0.751 0.238 0.142
0.762 0.249 0.858
0.764 0.767 0.845
0.812 0.298 0.424
0.950 0.955 0.281
0.952 0.405 0.291
```

Properties
Its space group is C2. The final energy comes out at -6.438 eV/atom. The volume comes out at 14.72 Å³/atom.

# 18
This record from Alexandria describes MgCoTe after structural relaxation. The functional is PBE.

The structure in POSCAR format:
```
MgCoTe
1.0
6.040 0.000 0.000
0.000 6.040 0.000
0.000 0.000 6.040
Mg Co Te
4 4 4
Direct
0.000 0.000 0.000
0.000 0.500 0.500
0.500 0.000 0.500
0.500 0.500 0.000
0.250 0.250 0.750
0.250 0.750 0.250
0.750 0.250 0.250
0.750 0.750 0.750
0.000 0.000 0.500
0.000 0.500 0.000
0.500 0.000 0.000
0.500 0.500 0.500
```

Properties
Its space group is F-43m. The final energy comes out at -4.182 eV/atom. As for the energy above the lowest structure with this stoichiometry: 0.0000 eV per atom. The volume comes out at 18.36 Å³/atom.

# 19
This record from Alexandria describes Y2ZrTa after structural relaxation. The functional is PBE.

The structure in POSCAR format:
```
Y2ZrTa
1.0
10.556 0.000 0.000
0.000 3.197 0.000
-0.742 0.000 6.027
Y Zr Ta
4 2 2
Direct
0.000 0.000 0.000
0.234 0.000 0.708
0.500 0.500 0.000
0.734 0.500 0.708
0.255 0.500 0.259
0.755 0.000 0.259
0.491 0.000 0.453
0.991 0.500 0.453
```

Properties
Its space group is Cm. The final energy comes out at -8.031 eV/atom. As for the energy above the lowest structure with this stoichiometry: 0.1376 eV per atom. The volume comes out at 25.42 Å³/atom.

# 20
This record from Alexandria describes ZrMn4Ge after structural relaxation. The functional is PBE.

The structure in POSCAR format:
```
ZrMn4Ge
1.0
0.000 3.419 3.419
3.419 0.000 3.419
3.419 3.419 0.000
Zr Mn Ge
1 4 1
Direct
0.000 0.000 0.000
0.130 0.623 0.623
0.623 0.130 0.623
0.623 0.623 0.130
0.623 0.623 0.623
0.250 0.250 0.250
```

Properties
Its space group is F-43m. The final energy comes out at -8.362 eV/atom. The volume comes out at 13.32 Å³/atom.

# 21
This record from Alexandria describes LiSmZnHg after structural relaxation. The functional is PBE.

The structure in POSCAR format:
```
LiSmZnHg
1.0
7.053 0.000 0.000
0.000 7.053 0.000
0.000 0.000 7.053
Li Sm Zn Hg
4 4 4 4
Direct
0.000 0.000 0.000
0.000 0.500 0.500
0.500 0.000 0.500
0.500 0.500 0.000
0.000 0.000 0.500
0.000 0.500 0.000
0.500 0.000 0.000
0.500 0.500 0.500
0.250 0.250 0.250
0.250 0.750 0.750
0.750 0.250 0.750
0.750 0.750 0.250
0.250 0.250 0.750
0.250 0.750 0.250
0.750 0.250 0.250
0.750 0.750 0.750
```

Properties
Its space group is F-43m. The final energy comes out at -2.394 eV/atom. The volume comes out at 21.93 Å³/atom.

# 22
This record from Alexandria describes ZnPPt after structural relaxation. The functional is PBE.

The structure in POSCAR format:
```
ZnPPt
1.0
5.020 0.000 0.000
0.000 3.575 0.000
0.000 0.000 10.930
Zn P Pt
4 4 4
Direct
0.168 0.250 0.050
0.332 0.750 0.550
0.668 0.250 0.450
0.832 0.750 0.950
0.075 0.250 0.338
0.425 0.750 0.838
0.575 0.250 0.162
0.925 0.750 0.662
0.112 0.250 0.810
0.388 0.750 0.310
0.612 0.250 0.690
0.888 0.750 0.190
```

Properties
Its space group is Pnma. The final energy comes out at -4.504 eV/atom. As for the energy above the lowest structure with this stoichiometry: 0.0601 eV per atom. The volume comes out at 16.35 Å³/atom.

Computed values of mass density (unit: Mg/m³) for the preceding records, in sequence: 8.22, 6.63, 3.55, 15.18, 8.22, 6.68, 6.02, 6.28, 9.53, 7.44, 8.02, 13.68, 9.97, 10.94, 10.65, 5.71, 5.66, 6.35, 7.35, 7.97, 8.01, 9.87.
Computed values of Fermi-level density of states (unit: states/eV/f.u.) for the preceding records, in sequence: 4.11, 16.50, 5.36, 1.30, 9.95, 3.81, 16.80, 5.57, 3.93, 14.53, 10.70, 20.06, 10.43, 1.89, 6.81, 7.14, 14.16, 2.69, 4.79, 7.62, 3.20, 0.63.
Computed values of total magnetic moment (unit: μB per cell) for the preceding records, in sequence: 0.004, 0.000, 8.697, 0.000, 0.285, 0.000, 0.000, 1.171, 0.000, 0.000, 3.071, 4.863, 7.062, 0.000, 1.221, 1.064, 10.295, 0.001, 0.000, 3.119, 0.000, 0.000.